w.
Here is a geometry-optimized Nb3CrOs structure from Alexandria via LeMat-Bulk. Energies are from PBE.

Lattice parameters (Å, degrees): 4.5124 4.5124 4.5124 90.00 90.00 90.00
Last column: nearest neighbours and their distance in Å.
Fractional coordinates of all 5 atoms:
1 Os 0.5000 0.5000 0.5000  12 Nb 3.19
2 Nb 0.0000 0.5000 0.0000  2 Cr 2.26
3 Nb 0.5000 0.0000 0.0000  2 Cr 2.26
4 Nb 0.0000 0.0000 0.5000  2 Cr 2.26
5 Cr 0.0000 0.0000 0.0000  6 Nb 2.26

Summary:
Calculated volume: 18.4 A^3/atom



x.
Here is a geometry-optimized Nb3CrOs structure from Alexandria via LeMat-Bulk. Energies are from PBE.

Lattice parameters (Å, degrees): 4.8591 4.8591 4.8591 90.00 90.00 90.00
Last column: nearest neighbours and their distance in Å.
Fractional coordinates of all 5 atoms:
1 Nb 0.0000 0.5000 0.0000  2 Os 2.43
2 Os 0.0000 0.0000 0.0000  6 Nb 2.43
3 Cr 0.5000 0.5000 0.5000  12 Nb 3.44
4 Nb 0.5000 0.0000 0.0000  2 Os 2.43
5 Nb 0.0000 0.0000 0.5000  2 Os 2.43

Summary:
Calculated volume: 22.9 A^3/atom



Of them, the most stable is w and the least stable is x.



w.
Here is a geometry-optimized Nb2Cr2P structure from Alexandria via LeMat-Bulk. Energies are from PBE.

Lattice parameters (Å, degrees): 3.1648 3.1648 7.9463 78.51 78.51 90.00
Last column: nearest neighbours and their distance in Å.
Fractional coordinates of all 5 atoms:
1 Nb 0.4038 0.4038 0.1923  4 P 2.68, 4 Cr 2.83, 1 Nb 2.93
2 Cr 0.7500 0.2500 0.5000  4 Cr 2.24
3 Nb 0.5962 0.5962 0.8077  4 P 2.68, 4 Cr 2.83, 1 Nb 2.93
4 Cr 0.2500 0.7500 0.5000  4 Cr 2.24
5 P 0.0000 0.0000 0.0000  8 Nb 2.68

Summary:
Calculated volume: 15.3 A^3/atom



x.
Here is a geometry-optimized Nb2Cr2P structure from Alexandria via LeMat-Bulk. Energies are from PBE.

Lattice parameters (Å, degrees): 6.4341 6.4341 4.2078 90.00 90.00 90.00
Last column: nearest neighbours and their distance in Å.
Fractional coordinates of all 10 atoms:
1 P 0.5000 0.5000 0.0000  4 Nb 2.40
2 Nb 0.6669 0.1669 0.0000  2 P 2.40
3 Nb 0.1669 0.3331 0.0000  2 P 2.40
4 Nb 0.3331 0.8331 0.0000  2 P 2.40
5 Cr 0.1057 0.6057 0.5000  1 Cr 1.92
6 P 0.0000 0.0000 0.0000  4 Nb 2.40
7 Nb 0.8331 0.6669 0.0000  2 P 2.40
8 Cr 0.8943 0.3943 0.5000  1 Cr 1.92
9 Cr 0.6057 0.8943 0.5000  1 Cr 1.92
10 Cr 0.3943 0.1057 0.5000  1 Cr 1.92

Summary:
Calculated volume: 17.4 A^3/atom



Of them, the most stable is w and the least stable is x.



w.
Here is a geometry-optimized NbCr3P structure from Alexandria via LeMat-Bulk. Energies are from PBE.

Lattice parameters (Å, degrees): 4.2015 4.2015 4.2015 90.00 90.00 90.00
Last column: nearest neighbours and their distance in Å.
Fractional coordinates of all 5 atoms:
1 Cr 0.0000 0.0000 0.5000  2 P 2.10
2 Cr 0.5000 0.0000 0.0000  2 P 2.10
3 P 0.0000 0.0000 0.0000  6 Cr 2.10
4 Cr 0.0000 0.5000 0.0000  2 P 2.10
5 Nb 0.5000 0.5000 0.5000  12 Cr 2.97

Summary:
Calculated volume: 14.8 A^3/atom



x.
Here is a geometry-optimized NbCr3P structure from Alexandria via LeMat-Bulk. Energies are from PBE.

Lattice parameters (Å, degrees): 4.6954 4.6954 4.6954 90.00 90.00 90.00
Last column: nearest neighbours and their distance in Å.
Fractional coordinates of all 5 atoms:
1 Nb 0.0000 0.0000 0.0000  6 Cr 2.35
2 Cr 0.5000 0.0000 0.0000  2 Nb 2.35
3 P 0.5000 0.5000 0.5000  12 Cr 3.32
4 Cr 0.0000 0.5000 0.0000  2 Nb 2.35
5 Cr 0.0000 0.0000 0.5000  2 Nb 2.35

Summary:
Calculated volume: 20.7 A^3/atom



Of them, the most stable is w and the least stable is x.



w.
Here is a geometry-optimized NbCrP3 structure from Alexandria via LeMat-Bulk. Energies are from PBE.

Lattice parameters (Å, degrees): 4.4216 4.4216 4.4216 90.00 90.00 90.00
Last column: nearest neighbours and their distance in Å.
Fractional coordinates of all 5 atoms:
1 Cr 0.0000 0.0000 0.0000  6 P 2.21
2 P 0.5000 0.0000 0.0000  2 Cr 2.21
3 Nb 0.5000 0.5000 0.5000  12 P 3.13
4 P 0.0000 0.5000 0.0000  2 Cr 2.21
5 P 0.0000 0.0000 0.5000  2 Cr 2.21

Summary:
Calculated volume: 17.3 A^3/atom



x.
Here is a geometry-optimized NbCrP3 structure from Alexandria via LeMat-Bulk. Energies are from PBE.

Lattice parameters (Å, degrees): 4.7680 4.7680 4.7680 90.00 90.00 90.00
Last column: nearest neighbours and their distance in Å.
Fractional coordinates of all 5 atoms:
1 P 0.0000 0.0000 0.5000  2 Nb 2.38
2 Cr 0.5000 0.5000 0.5000  12 P 3.37
3 P 0.5000 0.0000 0.0000  2 Nb 2.38
4 Nb 0.0000 0.0000 0.0000  6 P 2.38
5 P 0.0000 0.5000 0.0000  2 Nb 2.38

Summary:
Calculated volume: 21.7 A^3/atom



Of them, the most stable is w and the least stable is x.



w.
Here is a geometry-optimized NbCrPb3 structure from Alexandria via LeMat-Bulk. Energies are from PBE.

Lattice parameters (Å, degrees): 5.1572 5.1572 5.1572 90.00 90.00 90.00
Last column: nearest neighbours and their distance in Å.
Fractional coordinates of all 5 atoms:
1 Cr 0.0000 0.0000 0.0000  6 Pb 2.58
2 Pb 0.0000 0.5000 0.0000  2 Cr 2.58
3 Pb 0.0000 0.0000 0.5000  2 Cr 2.58
4 Pb 0.5000 0.0000 0.0000  2 Cr 2.58
5 Nb 0.5000 0.5000 0.5000  12 Pb 3.65

Summary:
Calculated volume: 27.4 A^3/atom



x.
Here is a geometry-optimized NbCrPb3 structure from Alexandria via LeMat-Bulk. Energies are from PBE.

Lattice parameters (Å, degrees): 5.4763 5.4763 5.4763 90.00 90.00 90.00
Last column: nearest neighbours and their distance in Å.
Fractional coordinates of all 5 atoms:
1 Pb 0.0000 0.5000 0.0000  2 Nb 2.74
2 Pb 0.5000 0.0000 0.0000  2 Nb 2.74
3 Pb 0.0000 0.0000 0.5000  2 Nb 2.74
4 Cr 0.5000 0.5000 0.5000  12 Pb 3.87
5 Nb 0.0000 0.0000 0.0000  6 Pb 2.74

Summary:
Calculated volume: 32.8 A^3/atom



Of them, the most stable is w and the least stable is x.



w.
Here is a geometry-optimized NbCrPb2 structure from Alexandria via LeMat-Bulk. Energies are from PBE.

Lattice parameters (Å, degrees): 4.8321 4.8321 4.8321 60.00 60.00 60.00
Last column: nearest neighbours and their distance in Å.
Fractional coordinates of all 4 atoms:
1 Pb 0.7500 0.7500 0.7500  4 Nb 2.96, 4 Cr 2.96
2 Nb 0.5000 0.5000 0.5000  8 Pb 2.96
3 Pb 0.2500 0.2500 0.2500  4 Cr 2.96, 4 Nb 2.96
4 Cr 0.0000 0.0000 0.0000  8 Pb 2.96

Summary:
Calculated volume: 19.9 A^3/atom



x.
Here is a geometry-optimized NbCrPb2 structure from Alexandria via LeMat-Bulk. Energies are from PBE.

Lattice parameters (Å, degrees): 7.7306 7.7306 6.2793 52.01 52.01 90.00
Last column: nearest neighbours and their distance in Å.
Fractional coordinates of all 8 atoms:
1 Pb 0.1386 0.6250 0.2500  2 Cr 2.77, 2 Nb 2.91, 2 Pb 3.10
2 Pb 0.6114 0.1250 0.2500  2 Cr 2.77, 2 Nb 2.91, 2 Pb 3.10
3 Nb 0.7500 0.2500 0.5000  4 Pb 2.91, 2 Cr 3.09
4 Nb 0.0000 0.0000 0.0000  4 Pb 2.91, 2 Cr 3.09
5 Cr 0.2500 0.7500 0.5000  4 Pb 2.77, 2 Nb 3.09
6 Cr 0.5000 0.5000 0.0000  4 Pb 2.77, 2 Nb 3.09
7 Pb 0.8750 0.8614 0.7500  2 Cr 2.77, 2 Nb 2.91, 2 Pb 3.10
8 Pb 0.3750 0.3886 0.7500  2 Cr 2.77, 2 Nb 2.91, 2 Pb 3.10

Summary:
Calculated volume: 23.1 A^3/atom



Of them, the most stable is x and the least stable is w.